1.
This record from the Alexandria database describes a geometry-optimized CsZnCd2Ag structure. The functional is PBE-GGA.

Cell: 5.342 5.342 5.350 Å, 90.00 90.00 90.00°
Atoms (fractional coordinates):
Cs  0.500  0.500  0.500
Zn  0.000  0.000  0.000
Ag  0.000  0.000  0.500
Cd  0.000  0.500  0.000
Cd  0.500  0.000  0.000

Computed properties:
- Polymorph energy (0 for the lowest one): 0.031 eV/atom
- Mass density: 5.78 g/cm³
- E_form: 98 meV per atom
- E_tot: -1.26 eV/atom
- Space-group type: P4/mmm (123)
- M_tot: 0.00 μB per atom



2.
This record from the Alexandria database describes a geometry-optimized Ba2HoTmS4 structure. The functional is PBE-GGA.

Cell: 4.087 7.056 7.518 Å, 108.33 90.00 90.00°
Atoms (fractional coordinates):
Ba  0.500  0.000  0.500
Ba  0.000  0.500  0.500
Ho  0.500  0.500  0.000
Tm  0.000  0.000  0.000
S  0.500  0.233  0.205
S  0.500  0.767  0.795
S  0.000  0.263  0.794
S  0.000  0.737  0.206

Computed properties:
- Mass density: 5.94 g/cm³
- ΔE_f (raw): -1.992 eV/atom
- E_tot: -5.67 eV/atom
- Space-group type: P2/m (10)
- M_tot: 0.00 μB per atom



3.
This record from the Alexandria database describes a geometry-optimized PCS2Cl structure. The functional is PBE-GGA.

Cell: 4.135 4.135 4.272 Å, 90.00 90.00 90.00°
Atoms (fractional coordinates):
P  0.500  0.500  0.500
S  0.000  0.500  0.000
S  0.500  0.000  0.000
C  0.000  0.000  0.000
Cl  0.000  0.000  0.500

Computed properties:
- Polymorph energy (0 for the lowest one): 0.022 eV/atom
- Mass density: 3.24 g/cm³
- ΔE_f (raw): 1.422 eV/atom
- E_tot: -3.52 eV/atom
- Space-group type: P4/mmm (123)
- M_tot: 0.00 μB per atom



4.
This record from the Alexandria database describes a geometry-optimized Sr2Tl2Te structure. The functional is PBE-GGA.

Cell: 8.561 8.561 4.791 Å, 90.00 90.00 90.00°
Atoms (fractional coordinates):
Sr  0.172  0.672  0.500
Sr  0.672  0.828  0.500
Sr  0.828  0.328  0.500
Sr  0.328  0.172  0.500
Tl  0.371  0.871  0.000
Tl  0.871  0.629  0.000
Tl  0.629  0.129  0.000
Tl  0.129  0.371  0.000
Te  0.000  0.000  0.000
Te  0.500  0.500  0.000

Computed properties:
- Mass density: 6.73 g/cm³
- ΔE_f (raw): -0.530 eV/atom
- E_tot: -2.78 eV/atom
- Space-group type: P4/mbm (127)
- M_tot: 0.00 μB per atom